P | The following is a PBE-GGA calculation of an optimized crystal structure of Be3RePd, from Alexandria via LeMat-Bulk.

a b c (Å): 4.0231 4.0231 4.0231
angles (deg): 90.00 90.00 90.00
With the nearest neighbours (Å) after each atom.
Sites, in units of the cell vectors:
Be 0.0000 0.0000 0.5000  2 Pd 2.01
Be 0.0000 0.5000 0.0000  2 Pd 2.01
Be 0.5000 0.0000 0.0000  2 Pd 2.01
Re 0.5000 0.5000 0.5000  12 Be 2.84
Pd 0.0000 0.0000 0.0000  6 Be 2.01

Output
Magnetization ... 0.18 μB/atom
Calculated volume ... 13.02 A^3/atom
Crystal system ... cubic
D(E_F) ... 1.97 states/eV/cell
SG ... Pm-3m, No. 221

***

Q | The following is a PBE-GGA calculation of an optimized crystal structure of Be3RePd, from Alexandria via LeMat-Bulk.

a b c (Å): 4.1730 4.1730 4.1730
angles (deg): 90.00 90.00 90.00
With the nearest neighbours (Å) after each atom.
Sites, in units of the cell vectors:
Be 0.0000 0.0000 0.5000  2 Re 2.09
Be 0.0000 0.5000 0.0000  2 Re 2.09
Be 0.5000 0.0000 0.0000  2 Re 2.09
Re 0.0000 0.0000 0.0000  6 Be 2.09
Pd 0.5000 0.5000 0.5000  12 Be 2.95

Output
Magnetization ... 0.00 μB/atom
Calculated volume ... 14.53 A^3/atom
Crystal system ... cubic
D(E_F) ... 4.77 states/eV/cell
SG ... Pm-3m, No. 221

***

Stability, descending: P, Q

***

P | The following is a PBE-GGA calculation of an optimized crystal structure of BeRePd3, from Alexandria via LeMat-Bulk.

a b c (Å): 4.7932 4.7932 4.7932
angles (deg): 90.00 90.00 90.00
With the nearest neighbours (Å) after each atom.
Sites, in units of the cell vectors:
Be 0.0000 0.0000 0.0000  12 Pd 3.39
Re 0.5000 0.5000 0.5000  6 Pd 2.40
Pd 0.0000 0.5000 0.5000  2 Re 2.40
Pd 0.5000 0.0000 0.5000  2 Re 2.40
Pd 0.5000 0.5000 0.0000  2 Re 2.40

Output
Magnetization ... 0.00 μB/atom
Calculated volume ... 22.02 A^3/atom
Crystal system ... cubic
D(E_F) ... 5.99 states/eV/cell
SG ... Pm-3m, No. 221

***

Q | The following is a PBE-GGA calculation of an optimized crystal structure of BeRePd3, from Alexandria via LeMat-Bulk.

a b c (Å): 4.2117 4.2117 4.2117
angles (deg): 90.00 90.00 90.00
With the nearest neighbours (Å) after each atom.
Sites, in units of the cell vectors:
Be 0.0000 0.0000 0.0000  6 Pd 2.11
Re 0.5000 0.5000 0.5000  12 Pd 2.98
Pd 0.0000 0.0000 0.5000  2 Be 2.11
Pd 0.0000 0.5000 0.0000  2 Be 2.11
Pd 0.5000 0.0000 0.0000  2 Be 2.11

Output
Magnetization ... 0.80 μB/atom
Calculated volume ... 14.94 A^3/atom
Crystal system ... cubic
D(E_F) ... 7.75 states/eV/cell
SG ... Pm-3m, No. 221

***

Stability, descending: Q, P

***

P | The following is a PBE-GGA calculation of an optimized crystal structure of Be2RePd2, from Alexandria via LeMat-Bulk.

a b c (Å): 3.6256 3.6256 9.5920
angles (deg): 90.00 90.00 90.00
With the nearest neighbours (Å) after each atom.
Sites, in units of the cell vectors:
Be 0.0000 0.0000 0.1036  1 Be 1.99
Be 0.0000 0.0000 0.8964  1 Be 1.99
Be 0.5000 0.5000 0.3964  1 Be 1.99
Be 0.5000 0.5000 0.6036  1 Be 1.99
Re 0.0000 0.0000 0.5000  8 Be 2.75, 8 Pd 3.01
Re 0.5000 0.5000 0.0000  8 Be 2.75, 8 Pd 3.01
Pd 0.0000 0.5000 0.2500  4 Be 2.29, 4 Pd 2.56
Pd 0.0000 0.5000 0.7500  4 Be 2.29, 4 Pd 2.56
Pd 0.5000 0.0000 0.2500  4 Be 2.29, 4 Pd 2.56
Pd 0.5000 0.0000 0.7500  4 Be 2.29, 4 Pd 2.56

Output
Magnetization ... 0.00 μB/atom
Calculated volume ... 12.61 A^3/atom
Crystal system ... tetragonal
D(E_F) ... 11.55 states/eV/cell
SG ... I4/mmm, No. 139

***

Q | The following is a PBE-GGA calculation of an optimized crystal structure of Be2RePd2, from Alexandria via LeMat-Bulk.

a b c (Å): 6.6985 6.6985 2.7027
angles (deg): 90.00 90.00 90.00
With the nearest neighbours (Å) after each atom.
Sites, in units of the cell vectors:
Be 0.1350 0.3650 0.0000  6 Pd 2.35-2.41, 1 Be 2.56, 2 Re 2.61
Be 0.3650 0.8650 0.0000  6 Pd 2.35-2.41, 1 Be 2.56, 2 Re 2.61
Be 0.6350 0.1350 0.0000  6 Pd 2.35-2.41, 1 Be 2.56, 2 Re 2.61
Be 0.8650 0.6350 0.0000  6 Pd 2.35-2.41, 1 Be 2.56, 2 Re 2.61
Re 0.0000 0.0000 0.0000  4 Be 2.61, 2 Re 2.70, 8 Pd 2.85
Re 0.5000 0.5000 0.0000  4 Be 2.61, 2 Re 2.70, 8 Pd 2.85
Pd 0.1622 0.6622 0.5000  6 Be 2.35-2.41
Pd 0.3378 0.1622 0.5000  6 Be 2.35-2.41
Pd 0.6622 0.8378 0.5000  6 Be 2.35-2.41
Pd 0.8378 0.3378 0.5000  6 Be 2.35-2.41

Output
Magnetization ... 0.00 μB/atom
Calculated volume ... 12.13 A^3/atom
Crystal system ... tetragonal
D(E_F) ... 3.87 states/eV/cell
SG ... P4/mbm, No. 127

***

Stability, descending: Q, P

***

P | The following is a PBE-GGA calculation of an optimized crystal structure of Be2Pd2Rh, from Alexandria via LeMat-Bulk.

a b c (Å): 6.5083 6.5083 2.8368
angles (deg): 90.00 90.00 90.00
With the nearest neighbours (Å) after each atom.
Sites, in units of the cell vectors:
Be 0.1384 0.3616 0.0000  6 Pd 2.34-2.40, 2 Rh 2.52, 1 Be 2.55
Be 0.3616 0.8616 0.0000  6 Pd 2.34-2.40, 2 Rh 2.52, 1 Be 2.55
Be 0.6384 0.1384 0.0000  6 Pd 2.34-2.40, 2 Rh 2.52, 1 Be 2.55
Be 0.8616 0.6384 0.0000  6 Pd 2.34-2.40, 2 Rh 2.52, 1 Be 2.55
Pd 0.1588 0.6588 0.5000  6 Be 2.34-2.40
Pd 0.3412 0.1588 0.5000  6 Be 2.34-2.40
Pd 0.6588 0.8412 0.5000  6 Be 2.34-2.40
Pd 0.8412 0.3412 0.5000  6 Be 2.34-2.40
Rh 0.0000 0.0000 0.0000  4 Be 2.52
Rh 0.5000 0.5000 0.0000  4 Be 2.52

Output
Magnetization ... 0.00 μB/atom
Calculated volume ... 12.02 A^3/atom
Crystal system ... tetragonal
D(E_F) ... 6.51 states/eV/cell
SG ... P4/mbm, No. 127

***

Q | The following is a PBE-GGA calculation of an optimized crystal structure of Be2Pd2Rh, from Alexandria via LeMat-Bulk.

a b c (Å): 2.7794 15.9193 2.7804
angles (deg): 90.00 90.00 90.00
With the nearest neighbours (Å) after each atom.
Sites, in units of the cell vectors:
Be 0.0000 0.0852 0.0000  4 Rh 2.39, 4 Pd 2.43
Be 0.0000 0.9148 0.0000  4 Rh 2.39, 4 Pd 2.43
Be 0.5000 0.4148 0.0000  4 Rh 2.39, 4 Pd 2.43
Be 0.5000 0.5852 0.0000  4 Rh 2.39, 4 Pd 2.43
Pd 0.0000 0.3252 0.5000  4 Be 2.43
Pd 0.0000 0.6748 0.5000  4 Be 2.43
Pd 0.5000 0.1748 0.5000  4 Be 2.43
Pd 0.5000 0.8252 0.5000  4 Be 2.43
Rh 0.0000 0.5000 0.5000  8 Be 2.39
Rh 0.5000 0.0000 0.5000  8 Be 2.39

Output
Magnetization ... 0.00 μB/atom
Calculated volume ... 12.30 A^3/atom
Crystal system ... orthorhombic
D(E_F) ... 4.79 states/eV/cell
SG ... Cmmm, No. 65

***

Stability, descending: Q, P

***

P | The following is a PBE-GGA calculation of an optimized crystal structure of Be2PdRh, from Alexandria via LeMat-Bulk.

a b c (Å): 5.9521 5.9521 5.4655
angles (deg): 90.00 90.00 90.00
With the nearest neighbours (Å) after each atom.
Sites, in units of the cell vectors:
Be 0.2459 0.2500 0.1250  2 Rh 2.20, 2 Pd 2.23
Be 0.2500 0.7459 0.3750  2 Rh 2.20, 2 Pd 2.23
Be 0.2500 0.7541 0.8750  2 Rh 2.20, 2 Pd 2.23
Be 0.2541 0.2500 0.6250  2 Rh 2.20, 2 Pd 2.23
Be 0.7459 0.7500 0.6250  2 Rh 2.20, 2 Pd 2.23
Be 0.7500 0.2459 0.8750  2 Rh 2.20, 2 Pd 2.23
Be 0.7500 0.2541 0.3750  2 Rh 2.20, 2 Pd 2.23
Be 0.7541 0.7500 0.1250  2 Rh 2.20, 2 Pd 2.23
Pd 0.0000 0.0000 0.5000  4 Be 2.23
Pd 0.0000 0.5000 0.7500  4 Be 2.23
Pd 0.5000 0.0000 0.2500  4 Be 2.23
Pd 0.5000 0.5000 0.0000  4 Be 2.23
Rh 0.0000 0.0000 0.0000  4 Be 2.20
Rh 0.0000 0.5000 0.2500  4 Be 2.20
Rh 0.5000 0.0000 0.7500  4 Be 2.20
Rh 0.5000 0.5000 0.5000  4 Be 2.20

Output
Magnetization ... 0.00 μB/atom
Calculated volume ... 12.10 A^3/atom
Crystal system ... tetragonal
D(E_F) ... 7.84 states/eV/cell
SG ... I-42d, No. 122

***

Q | The following is a PBE-GGA calculation of an optimized crystal structure of Be2PdRh, from Alexandria via LeMat-Bulk.

a b c (Å): 2.8129 2.8129 5.5990
angles (deg): 90.00 90.00 90.00
With the nearest neighbours (Å) after each atom.
Sites, in units of the cell vectors:
Be 0.0000 0.0000 0.2304  4 Rh 2.37, 4 Pd 2.50, 1 Be 2.58
Be 0.0000 0.0000 0.7696  4 Rh 2.37, 4 Pd 2.50, 1 Be 2.58
Pd 0.5000 0.5000 0.5000  8 Be 2.50
Rh 0.5000 0.5000 0.0000  8 Be 2.37

Output
Magnetization ... 0.00 μB/atom
Calculated volume ... 11.08 A^3/atom
Crystal system ... tetragonal
D(E_F) ... 0.55 states/eV/cell
SG ... P4/mmm, No. 123

***

R | The following is a PBE-GGA calculation of an optimized crystal structure of Be2PdRh, from Alexandria via LeMat-Bulk.

a b c (Å): 5.6046 5.6046 5.6046
angles (deg): 90.00 90.00 90.00
With the nearest neighbours (Å) after each atom.
Sites, in units of the cell vectors:
Be 0.2500 0.2500 0.2500  4 Pd 2.43, 4 Rh 2.43
Be 0.2500 0.2500 0.7500  4 Rh 2.43, 4 Pd 2.43
Be 0.2500 0.7500 0.2500  4 Rh 2.43, 4 Pd 2.43
Be 0.2500 0.7500 0.7500  4 Pd 2.43, 4 Rh 2.43
Be 0.7500 0.2500 0.2500  4 Rh 2.43, 4 Pd 2.43
Be 0.7500 0.2500 0.7500  4 Pd 2.43, 4 Rh 2.43
Be 0.7500 0.7500 0.2500  4 Pd 2.43, 4 Rh 2.43
Be 0.7500 0.7500 0.7500  4 Rh 2.43, 4 Pd 2.43
Pd 0.0000 0.0000 0.0000  8 Be 2.43
Pd 0.0000 0.5000 0.5000  8 Be 2.43
Pd 0.5000 0.0000 0.5000  8 Be 2.43
Pd 0.5000 0.5000 0.0000  8 Be 2.43
Rh 0.0000 0.0000 0.5000  8 Be 2.43
Rh 0.0000 0.5000 0.0000  8 Be 2.43
Rh 0.5000 0.0000 0.0000  8 Be 2.43
Rh 0.5000 0.5000 0.5000  8 Be 2.43

Output
Magnetization ... 0.00 μB/atom
Calculated volume ... 11.00 A^3/atom
Crystal system ... cubic
D(E_F) ... 4.63 states/eV/cell
SG ... Fm-3m, No. 225

***

Stability, descending: Q, R, P

***

P | The following is a PBE-GGA calculation of an optimized crystal structure of Be2PdRh2, from Alexandria via LeMat-Bulk.

a b c (Å): 6.7605 6.7605 2.7207
angles (deg): 90.00 90.00 90.00
With the nearest neighbours (Å) after each atom.
Sites, in units of the cell vectors:
Be 0.1613 0.3387 0.0000  6 Rh 2.36-2.44
Be 0.3387 0.8387 0.0000  6 Rh 2.36-2.44
Be 0.6613 0.1613 0.0000  6 Rh 2.36-2.44
Be 0.8387 0.6613 0.0000  6 Rh 2.36-2.44
Pd 0.0000 0.0000 0.5000  4 Rh 2.62, 2 Pd 2.72, 8 Be 2.88
Pd 0.5000 0.5000 0.5000  4 Rh 2.62, 2 Pd 2.72, 8 Be 2.88
Rh 0.1367 0.6367 0.5000  6 Be 2.36-2.44, 1 Rh 2.61, 2 Pd 2.62
Rh 0.3633 0.1367 0.5000  6 Be 2.36-2.44, 1 Rh 2.61, 2 Pd 2.62
Rh 0.6367 0.8633 0.5000  6 Be 2.36-2.44, 1 Rh 2.61, 2 Pd 2.62
Rh 0.8633 0.3633 0.5000  6 Be 2.36-2.44, 1 Rh 2.61, 2 Pd 2.62

Output
Magnetization ... 0.00 μB/atom
Calculated volume ... 12.43 A^3/atom
Crystal system ... tetragonal
D(E_F) ... 11.26 states/eV/cell
SG ... P4/mbm, No. 127

***

Q | The following is a PBE-GGA calculation of an optimized crystal structure of Be2PdRh2, from Alexandria via LeMat-Bulk.

a b c (Å): 6.3738 6.3738 2.8882
angles (deg): 90.00 90.00 90.00
With the nearest neighbours (Å) after each atom.
Sites, in units of the cell vectors:
Be 0.1305 0.3695 0.0000  1 Be 2.35, 6 Rh 2.36-2.37, 2 Pd 2.50
Be 0.3695 0.8695 0.0000  1 Be 2.35, 6 Rh 2.36-2.37, 2 Pd 2.50
Be 0.6305 0.1305 0.0000  1 Be 2.35, 6 Rh 2.36-2.37, 2 Pd 2.50
Be 0.8695 0.6305 0.0000  1 Be 2.35, 6 Rh 2.36-2.37, 2 Pd 2.50
Pd 0.0000 0.0000 0.0000  4 Be 2.50, 8 Rh 2.79
Pd 0.5000 0.5000 0.0000  4 Be 2.50, 8 Rh 2.79
Rh 0.1628 0.6628 0.5000  6 Be 2.36-2.37
Rh 0.3372 0.1628 0.5000  6 Be 2.36-2.37
Rh 0.6628 0.8372 0.5000  6 Be 2.36-2.37
Rh 0.8372 0.3372 0.5000  6 Be 2.36-2.37

Output
Magnetization ... 0.00 μB/atom
Calculated volume ... 11.73 A^3/atom
Crystal system ... tetragonal
D(E_F) ... 7.42 states/eV/cell
SG ... P4/mbm, No. 127

***

Stability, descending: Q, P